10
Lattice="4.4916 0.0000 0.0000 2.2458 5.8264 -0.0838 2.2458 0.7693 10.7120" Properties=species:S:1:pos:R:3 comment="Sr2GeAu2 | Alexandria | PBE | optimized geometry" dos_ef_per_ev_atom=0.58 e_tot_ev_per_atom=-3.59 formation_enthalpy_0k_ev_per_atom=-0.68 pbc="T T T"
Sr 4.4916 1.7210 3.8878
Au 6.7374 4.2472 4.2870
Sr 2.2458 4.1890 1.0388
Ge 4.4916 1.5559 7.3135
Au 2.2458 2.3485 6.3412
Au 2.2458 0.8738 1.2524
Sr 4.4916 4.8747 6.7405
Sr 6.7374 2.4067 9.5895
Au 6.7374 5.7219 9.3759
Ge 4.4916 5.0398 3.3148

=====

12
Lattice="4.3537 0.0000 -1.1294 0.0000 6.9176 0.0000 -0.0867 0.0000 8.6222" Properties=species:S:1:pos:R:3 comment="SrGeAu4 | Alexandria | PBE | optimized geometry" dos_ef_per_ev_atom=0.37 e_tot_ev_per_atom=-3.58 formation_enthalpy_0k_ev_per_atom=-0.35 pbc="T T T"
Sr 0.4730 1.7294 1.8234
Sr 3.7940 5.1882 5.6694
Au 2.8996 6.5787 2.2215
Ge 3.2831 1.7294 3.7000
Au 1.3674 3.1199 5.2714
Au 2.1768 3.4588 -0.5647
Au 2.1768 0.0000 -0.5647
Ge 0.9839 5.1882 3.7928
Au 1.3674 0.3389 5.2714
Au 0.3050 5.1882 1.1756
Au 3.9620 1.7294 6.3172
Au 2.8996 3.7977 2.2215

=====

14
Lattice="4.4012 0.0000 1.1103 1.6338 8.0701 2.8018 0.1304 0.0726 8.7614" Properties=species:S:1:pos:R:3 comment="Sr3Ge4Au7 | Alexandria | PBE | optimized geometry" dos_ef_per_ev_atom=0.42 e_tot_ev_per_atom=-3.82 formation_enthalpy_0k_ev_per_atom=-0.50 pbc="T T T"
Au 2.7966 6.7399 7.4710
Au 3.4726 6.1011 4.7913
Au 3.3689 1.4027 5.2025
Ge 5.4077 7.2982 6.3989
Au 0.0000 0.0000 0.0000
Ge 0.7577 0.8445 6.2746
Ge 3.7461 3.6531 3.7072
Au 2.6928 2.0416 7.8823
Sr 1.7372 1.4934 2.3923
Ge 2.4194 4.4896 8.9663
Sr 4.4283 6.6492 10.2813
Au 1.6381 4.9608 2.7848
Au 4.5273 3.1819 9.8887
Sr 0.8821 4.0713 5.7816

=====

4
Lattice="4.7378 0.9981 1.3546 1.3218 -0.1894 4.8472 2.9752 -3.7011 1.6516" Properties=species:S:1:pos:R:3 comment="SrGe2Au | Alexandria | PBE | optimized geometry" dos_ef_per_ev_atom=0.49 e_tot_ev_per_atom=-3.69 formation_enthalpy_0k_ev_per_atom=-0.14 pbc="T T T"
Ge 2.2587 -0.7231 1.9633
Ge 6.7761 -2.1693 5.8900
Sr 0.0000 0.0000 0.0000
Au 4.5174 -1.4462 3.9267